Entry 1:
# PrTh3Se6

PrTh3Se6 after structural relaxation (PBE, the Alexandria database).

a = 11.588 Å, b = 4.267 Å, c = 11.877 Å
α = 90.00°, β = 104.22°, γ = 90.00°
Element x y z (fractional)
1 Pr 0.040 0.250 0.196
2 Pr 0.960 0.750 0.804
3 Th 0.169 0.250 0.558
4 Th 0.313 0.750 0.987
5 Th 0.396 0.250 0.346
6 Th 0.604 0.750 0.654
7 Th 0.687 0.250 0.013
8 Th 0.831 0.750 0.442
9 Se 0.067 0.750 0.392
10 Se 0.121 0.250 0.958
11 Se 0.206 0.750 0.735
12 Se 0.243 0.750 0.212
13 Se 0.426 0.250 0.603
14 Se 0.469 0.250 0.116
15 Se 0.531 0.750 0.884
16 Se 0.574 0.750 0.397
17 Se 0.757 0.250 0.788
18 Se 0.794 0.250 0.265
19 Se 0.879 0.750 0.042
20 Se 0.933 0.250 0.608

Computed properties:
The calculation puts the density at 7.647 g/cm3. The volume is 569 Å³/cell. As for the crystal system: monoclinic. The value obtained for the total magnetic moment is 0.000 μB/cell. For the uncorrected formation energy, the calculation gives -1.682 eV/atom.



Entry 2:
# Ba3ScRh

Ba3ScRh after structural relaxation (PBE, the Alexandria database).

a = 6.038 Å, b = 6.038 Å, c = 6.038 Å
α = 90.00°, β = 90.00°, γ = 90.00°
Element x y z (fractional)
1 Ba 0.000 0.000 0.500
2 Ba 0.000 0.500 0.000
3 Ba 0.500 0.000 0.000
4 Sc 0.500 0.500 0.500
5 Rh 0.000 0.000 0.000

Computed properties:
The calculation puts the density at 4.223 g/cm3. The energy of formation from the pure elements is 207 meV per atom. The volume is 220 Å³/cell. As for the crystal system: cubic. The value obtained for the total magnetic moment is 0.000 μB/cell.